The following is a PBE calculation of crystalline Hf2SeS3 at its relaxed geometry, from the Alexandria database.

Structure (POSCAR):
```
Hf2SeS3
1.0
6.7333 0.0000 0.0000
0.0000 7.3517 0.0000
0.0000 -3.6758 6.3668
Hf Se S
4 2 6
direct
0.0000 0.5000 0.0000
0.0000 0.0000 0.0000
0.0000 0.0000 0.5000
0.0000 0.5000 0.5000
0.2432 0.6667 0.3333
0.7568 0.3333 0.6667
0.7886 0.3342 0.1671
0.2114 0.6658 0.8329
0.2114 0.1671 0.3342
0.7886 0.8329 0.6658
0.7886 0.8329 0.1671
0.2114 0.1671 0.8329
```

Density = 5.6 g/cm3
Uncorrected formation energy = -1.524 eV/atom
M_tot = 0.0 Bohr magnetons per cell

---

The following is a PBE calculation of crystalline HfSeS at its relaxed geometry, from the Alexandria database.

Structure (POSCAR):
```
HfSeS
1.0
3.7181 0.0000 0.0000
0.0000 4.3029 0.0000
0.0000 -2.1515 3.7265
Se S Hf
1 1 1
direct
0.6667 0.3333 0.6667
0.1665 0.0000 0.0000
0.1668 0.6667 0.3333
```

Density = 8.1 g/cm3
N(E_F) = 0.54 states/eV per cell
Uncorrected formation energy = -0.974 eV/atom
M_tot = 0.0 Bohr magnetons per cell

---

The following is a PBE calculation of crystalline HfSeS at its relaxed geometry, from the Alexandria database.

Structure (POSCAR):
```
HfSeS
1.0
3.7090 0.0000 0.0000
0.0000 6.2842 -1.2821
0.0000 0.9893 6.8842
S Se Hf
2 2 2
direct
0.7500 0.9016 0.2968
0.2500 0.0984 0.7032
0.2500 0.4037 0.2684
0.7500 0.5963 0.7316
0.7500 0.2456 0.5010
0.2500 0.7544 0.4990
```

Density = 5.8 g/cm3
Uncorrected formation energy = -1.470 eV/atom
M_tot = 0.0 Bohr magnetons per cell

---

The following is a PBE calculation of crystalline Hf3SeS5 at its relaxed geometry, from the Alexandria database.

Structure (POSCAR):
```
Hf3SeS5
1.0
7.1745 0.0399 0.2868
2.0024 6.8895 0.2868
3.0621 2.3122 8.7146
Hf S Se
6 10 2
direct
0.6679 0.6679 0.8347
0.6566 0.6566 0.3283
0.3321 0.3321 0.1653
0.3434 0.3434 0.6717
0.0000 0.0000 0.5000
0.0000 0.0000 0.0000
0.6371 0.0318 0.6705
0.3033 0.6967 0.0000
0.4269 0.4269 0.3742
0.7687 0.7687 0.0326
0.9682 0.3629 0.3295
0.0318 0.6371 0.6705
0.2313 0.2313 0.9674
0.6967 0.3033 0.0000
0.5731 0.5731 0.6258
0.3629 0.9682 0.3295
0.8938 0.8938 0.3044
0.1062 0.1062 0.6956
```

Density = 6.1 g/cm3
Uncorrected formation energy = -1.405 eV/atom
M_tot = 0.0 Bohr magnetons per cell

---

The following is a PBE calculation of crystalline Hf2SeS2 at its relaxed geometry, from the Alexandria database.

Structure (POSCAR):
```
Hf2SeS2
1.0
-1.6631 3.8301 2.9519
-3.7111 -5.1197 0.1282
5.5797 -1.2338 4.7422
Hf S Se
4 4 2
direct
0.5084 0.0163 0.2606
0.8231 0.6464 0.4184
0.4908 0.9818 0.7357
0.1760 0.3517 0.5780
0.3288 0.6577 0.3965
0.9968 0.9934 0.2581
0.0024 0.0047 0.7382
0.6704 0.3404 0.5999
0.3325 0.6642 0.9216
0.6666 0.3339 0.0747
```

Density = 8.0 g/cm3
N(E_F) = 3.56 states/eV per cell
Uncorrected formation energy = -1.402 eV/atom
M_tot = 0.0 Bohr magnetons per cell

---

The following is a PBE calculation of crystalline HfSeS3 at its relaxed geometry, from the Alexandria database.

Structure (POSCAR):
```
HfSeS3
1.0
-0.8058 4.4170 -1.2557
-0.6616 -1.3732 -4.4059
-4.5441 -0.5834 0.8641
S Se Hf
3 1 1
direct
0.5000 0.0000 0.0000
0.0000 0.5000 0.0000
0.0000 0.0000 0.5000
0.0000 0.0000 0.0000
0.5000 0.5000 0.5000
```

Density = 5.8 g/cm3
N(E_F) = 3.57 states/eV per cell
Uncorrected formation energy = 0.450 eV/atom
M_tot = 0.7 Bohr magnetons per cell

---

The following is a PBE calculation of crystalline Hf4Se5S at its relaxed geometry, from the Alexandria database.

Structure (POSCAR):
```
Hf4Se5S
1.0
-1.4042 -2.0150 2.8027
-3.9924 -4.0203 -4.8906
7.6916 -3.2397 -0.9530
Se Hf S
5 4 1
direct
0.1715 0.8201 0.3430
0.8347 0.6668 0.6694
0.1653 0.3332 0.3306
0.5000 0.5000 0.0000
0.8285 0.1799 0.6570
0.6559 0.0761 0.3117
0.0001 0.7723 0.0003
0.3441 0.9239 0.6883
0.9999 0.2277 0.9997
0.5000 0.0000 0.0000
```

Density = 8.5 g/cm3
N(E_F) = 3.28 states/eV per cell
Uncorrected formation energy = -1.284 eV/atom
M_tot = 0.0 Bohr magnetons per cell

---

The following is a PBE calculation of crystalline HfSeS at its relaxed geometry, from the Alexandria database.

Structure (POSCAR):
```
HfSeS
1.0
-1.3810 -3.3724 0.6832
2.1183 -3.0040 -0.4854
2.1083 0.4440 6.4529
Se S Hf
1 1 1
direct
0.3333 0.3333 0.7725
0.6667 0.6667 0.2157
0.0000 0.0000 0.0118
```

Density = 5.9 g/cm3
Uncorrected formation energy = -1.468 eV/atom
M_tot = 0.0 Bohr magnetons per cell